Arrangement w

A plane-wave DFT calculation with PBE was carried out for an optimized crystal structure of Sr2AgCl.

```
Sr2AgCl
1.0
0.000 3.989 3.989
3.989 0.000 3.989
3.989 3.989 0.000
Sr Ag Cl
2 1 1
Direct
0.250 0.250 0.250 Sr
0.750 0.750 0.750 Sr
0.500 0.500 0.500 Ag
0.000 0.000 0.000 Cl
```

Results
* SG: No. 225

***

Arrangement x

A plane-wave DFT calculation with PBE was carried out for an optimized crystal structure of Sr2AgCl.

```
Sr2AgCl
1.0
3.858 0.000 0.000
0.000 3.858 0.000
0.000 0.000 8.279
Ag Cl Sr
1 1 2
Direct
0.500 0.500 0.250 Ag
0.500 0.500 0.750 Cl
0.000 0.000 0.019 Sr
0.000 0.000 0.481 Sr
```

Results
* SG: No. 123

***

Of them, the most stable is arrangement x and the least stable is arrangement w.

***

Arrangement w

A plane-wave DFT calculation with PBE was carried out for an optimized crystal structure of Sr2AgCl.

```
Sr2AgCl
1.0
-4.717 -0.059 2.662
-2.333 -3.600 -4.214
1.140 -3.025 1.953
Ag Cl Sr
1 1 2
Direct
0.500 0.000 0.500 Ag
0.000 0.500 0.500 Cl
0.000 0.000 0.000 Sr
0.500 0.500 0.000 Sr
```

Results
* SG: No. 47

***

Arrangement x

A plane-wave DFT calculation with PBE was carried out for an optimized crystal structure of Sr2AgCl.

```
Sr2AgCl
1.0
-1.119 -3.672 -0.712
1.323 0.351 -3.894
7.612 -2.776 2.355
Ag Cl Sr
1 1 2
Direct
0.500 0.250 0.250 Ag
0.500 0.750 0.750 Cl
0.000 0.748 0.028 Sr
0.000 0.752 0.472 Sr
```

Results
* SG: No. 10

***

Of them, the most stable is arrangement x and the least stable is arrangement w.